Record 1
The following is a DFT calculation (GGA-PBE) of crystalline SrCdRh at its relaxed geometry.

Values from the calculation:
E_form   -0.1246 eV per atom
Space group   F-43m

extended XYZ file:
```
12
Lattice="6.845 0.000 0.000 0.000 6.845 0.000 0.000 0.000 6.845" Properties=species:S:1:pos:R:3 pbc="T T T"
Sr 0.000 0.000 0.000
Sr 0.000 3.422 3.422
Sr 3.422 0.000 3.422
Sr 3.422 3.422 0.000
Cd 0.000 0.000 3.422
Cd 0.000 3.422 0.000
Cd 3.422 0.000 0.000
Cd 3.422 3.422 3.422
Rh 1.711 1.711 5.134
Rh 1.711 5.134 1.711
Rh 5.134 1.711 1.711
Rh 5.134 5.134 5.134
```

Record 2
The following is a DFT calculation (GGA-PBE) of crystalline Li2CoOs at its relaxed geometry.

Values from the calculation:
E_form   0.1434 eV per atom
Space group   Pmm2

extended XYZ file:
```
4
Lattice="2.565 0.000 0.000 0.000 3.808 0.000 0.000 0.000 5.347" Properties=species:S:1:pos:R:3 pbc="T T T"
Li 0.000 0.000 0.000
Li 1.282 1.904 1.207
Co 1.282 1.904 3.696
Os 0.000 0.000 2.816
```

Record 3
The following is a DFT calculation (GGA-PBE) of crystalline In2BiRuO8 at its relaxed geometry.

Values from the calculation:
Formation energy from raw total energies   -109.4 kJ/mol of atoms
Space group   P2/m

extended XYZ file:
```
12
Lattice="4.896 0.000 0.000 0.000 6.616 0.000 -0.122 0.000 4.906" Properties=species:S:1:pos:R:3 pbc="T T T"
In 0.000 1.613 0.000
In 0.000 5.003 0.000
Bi 2.387 3.308 2.453
Ru 2.387 0.000 2.453
O 0.910 3.308 0.924
O 1.044 0.000 1.064
O 1.455 1.485 3.353
O 1.455 5.131 3.353
O 3.318 1.485 1.553
O 3.318 5.131 1.553
O 3.730 0.000 3.842
O 3.863 3.308 3.983
```

Record 4
The following is a DFT calculation (GGA-PBE) of crystalline PrNdZnPt at its relaxed geometry.

Values from the calculation:
E_form   -0.7126 eV per atom
Space group   Amm2

extended XYZ file:
```
8
Lattice="4.551 0.000 0.000 0.000 4.001 0.000 0.000 0.000 11.144" Properties=species:S:1:pos:R:3 pbc="T T T"
Pr 0.000 0.000 0.000
Pr 0.000 2.000 5.572
Nd 2.275 0.000 3.110
Nd 2.275 2.000 8.682
Zn 2.275 0.000 6.310
Zn 2.275 2.000 0.738
Pt 0.000 0.000 7.907
Pt 0.000 2.000 2.335
```

Record 5
The following is a DFT calculation (GGA-PBE) of crystalline Na3BiSe at its relaxed geometry.

Values from the calculation:
Formation energy from raw total energies   3.1 kJ/mol of atoms
Space group   Pm-3m

extended XYZ file:
```
5
Lattice="5.909 0.000 0.000 0.000 5.909 0.000 0.000 0.000 5.909" Properties=species:S:1:pos:R:3 pbc="T T T"
Na 0.000 0.000 2.954
Na 0.000 2.954 0.000
Na 2.954 0.000 0.000
Bi 0.000 0.000 0.000
Se 2.954 2.954 2.954
```

Record 6
The following is a DFT calculation (GGA-PBE) of crystalline ReHgP2S at its relaxed geometry.

Values from the calculation:
Formation energy from raw total energies   48.0 kJ/mol of atoms
Space group   P4/mmm

extended XYZ file:
```
5
Lattice="4.685 0.000 0.000 0.000 4.685 0.000 0.000 0.000 4.722" Properties=species:S:1:pos:R:3 pbc="T T T"
Re 0.000 0.000 0.000
Hg 2.342 2.342 2.361
P 0.000 2.342 0.000
P 2.342 0.000 0.000
S 0.000 0.000 2.361
```

Record 7
The following is a DFT calculation (GGA-PBE) of crystalline CsSrGaS3 at its relaxed geometry.

Values from the calculation:
Formation energy from raw total energies   -110.5 kJ/mol of atoms
Space group   C2/m

extended XYZ file:
```
12
Lattice="7.982 -2.527 0.000 7.982 2.527 0.000 -2.278 0.000 8.949" Properties=species:S:1:pos:R:3 pbc="T T T"
Cs 2.214 0.000 0.555
Cs 11.471 0.000 8.394
Sr 1.018 0.000 5.061
Sr 12.667 0.000 3.889
Ga 6.204 0.000 6.350
Ga 7.480 0.000 2.600
S -0.593 0.000 2.583
S 4.011 0.000 5.764
S 5.276 0.000 2.118
S 8.409 0.000 6.831
S 9.674 0.000 3.185
S 14.278 0.000 6.367
```

Record 8
The following is a DFT calculation (GGA-PBE) of crystalline NaVHI2 at its relaxed geometry.

Values from the calculation:
Space group   P4/mmm

extended XYZ file:
```
5
Lattice="5.447 0.000 0.000 0.000 5.447 0.000 0.000 0.000 3.859" Properties=species:S:1:pos:R:3 pbc="T T T"
Na 0.000 0.000 0.000
V 2.724 2.724 0.000
H 0.000 0.000 1.930
I 0.000 2.724 1.930
I 2.724 0.000 1.930
```

Record 9
The following is a DFT calculation (GGA-PBE) of crystalline CeGaTcNi at its relaxed geometry.

Values from the calculation:
E_form   -0.2003 eV per atom
Space group   F-43m

extended XYZ file:
```
16
Lattice="6.444 0.000 0.000 0.000 6.444 0.000 0.000 0.000 6.444" Properties=species:S:1:pos:R:3 pbc="T T T"
Ce 0.000 0.000 0.000
Ce 0.000 3.222 3.222
Ce 3.222 0.000 3.222
Ce 3.222 3.222 0.000
Ga 0.000 0.000 3.222
Ga 0.000 3.222 0.000
Ga 3.222 0.000 0.000
Ga 3.222 3.222 3.222
Tc 1.611 1.611 1.611
Tc 1.611 4.833 4.833
Tc 4.833 1.611 4.833
Tc 4.833 4.833 1.611
Ni 1.611 1.611 4.833
Ni 1.611 4.833 1.611
Ni 4.833 1.611 1.611
Ni 4.833 4.833 4.833
```

Record 10
The following is a DFT calculation (GGA-PBE) of crystalline TiHPt2 at its relaxed geometry.

Values from the calculation:
Space group   Fm-3m

extended XYZ file:
```
16
Lattice="6.013 0.000 0.000 0.000 6.013 0.000 0.000 0.000 6.013" Properties=species:S:1:pos:R:3 pbc="T T T"
Ti 0.000 0.000 0.000
Ti 0.000 3.007 3.007
Ti 3.007 0.000 3.007
Ti 3.007 3.007 0.000
H 0.000 0.000 3.007
H 0.000 3.007 0.000
H 3.007 0.000 0.000
H 3.007 3.007 3.007
Pt 1.503 1.503 1.503
Pt 1.503 1.503 4.510
Pt 1.503 4.510 1.503
Pt 1.503 4.510 4.510
Pt 4.510 1.503 1.503
Pt 4.510 1.503 4.510
Pt 4.510 4.510 1.503
Pt 4.510 4.510 4.510
```

Record 11
The following is a DFT calculation (GGA-PBE) of crystalline Ba2NdErSe4 at its relaxed geometry.

Values from the calculation:
Formation energy from raw total energies   -181.4 kJ/mol of atoms
Space group   P2/m

extended XYZ file:
```
8
Lattice="7.505 0.000 0.000 0.000 4.333 0.000 -2.500 0.000 7.397" Properties=species:S:1:pos:R:3 pbc="T T T"
Ba 0.000 0.000 0.000
Ba 3.752 2.166 0.000
Nd -1.250 2.166 3.698
Er 2.503 0.000 3.698
Se 0.071 0.000 5.309
Se 1.314 2.166 2.125
Se 3.691 2.166 5.272
Se 4.934 0.000 2.088
```

Record 12
The following is a DFT calculation (GGA-PBE) of crystalline Cs3GeO3 at its relaxed geometry.

Values from the calculation:
Formation energy from raw total energies   -135.0 kJ/mol of atoms
Space group   Cmce

extended XYZ file:
```
28
Lattice="7.591 -5.185 0.000 7.591 5.185 0.000 0.000 0.000 13.934" Properties=species:S:1:pos:R:3 pbc="T T T"
Cs 2.683 1.793 5.481
Cs 4.908 1.793 1.486
Cs 7.591 2.608 11.782
Cs 7.591 2.576 4.815
Cs 2.683 -1.793 8.452
Cs 4.908 -1.793 12.448
Cs 10.274 1.793 1.486
Cs 12.500 1.793 5.481
Cs 7.591 -2.576 9.119
Cs 7.591 -2.608 2.152
Cs 10.274 -1.793 12.448
Cs 12.500 -1.793 8.452
Ge 1.363 0.000 0.000
Ge 6.229 0.000 6.967
Ge 8.954 0.000 6.967
Ge 13.820 0.000 0.000
O 2.248 1.403 0.542
O 7.591 4.745 1.219
O 5.344 1.403 6.425
O 2.248 -1.403 13.392
O 7.591 0.440 8.186
O 5.344 -1.403 7.508
O 9.839 1.403 6.425
O 7.591 -0.440 5.747
O 12.935 1.403 0.542
O 9.839 -1.403 7.508
O 7.591 -4.745 12.714
O 12.935 -1.403 13.392
```

Record 13
The following is a DFT calculation (GGA-PBE) of crystalline K2TaNbNi at its relaxed geometry.

Values from the calculation:
E_form   2.4013 eV per atom
Space group   P4/mmm

extended XYZ file:
```
5
Lattice="6.269 0.000 0.000 0.000 6.269 0.000 0.000 0.000 4.413" Properties=species:S:1:pos:R:3 pbc="T T T"
K 0.000 3.134 0.000
K 3.134 0.000 0.000
Ta 0.000 0.000 2.206
Nb 3.134 3.134 0.000
Ni 3.134 3.134 2.206
```

Record 14
The following is a DFT calculation (GGA-PBE) of crystalline Pr2MgAl4Au3 at its relaxed geometry.

Values from the calculation:
E_form   -0.6492 eV per atom
Space group   P-4m2

extended XYZ file:
```
10
Lattice="4.380 0.000 0.000 0.000 4.380 0.000 0.000 0.000 11.018" Properties=species:S:1:pos:R:3 pbc="T T T"
Pr 0.000 2.190 2.689
Pr 2.190 0.000 8.329
Mg 0.000 0.000 5.509
Al 0.000 0.000 0.000
Al 0.000 2.190 7.113
Al 2.190 0.000 3.905
Al 2.190 2.190 0.000
Au 0.000 2.190 9.632
Au 2.190 0.000 1.386
Au 2.190 2.190 5.509
```

Record 15
The following is a DFT calculation (GGA-PBE) of crystalline In2Ga2Hg7 at its relaxed geometry.

Values from the calculation:
E_form   0.0538 eV per atom
Space group   C2/m

extended XYZ file:
```
11
Lattice="5.541 -3.374 0.000 5.541 3.374 0.000 -0.016 0.000 7.730" Properties=species:S:1:pos:R:3 pbc="T T T"
In 5.541 1.842 0.000
In 5.541 -1.842 0.000
Ga 2.813 0.000 3.865
Ga 8.253 0.000 3.865
Hg -0.008 0.000 3.865
Hg 2.774 1.685 1.514
Hg 5.519 0.000 5.316
Hg 2.774 -1.685 1.514
Hg 8.291 1.685 6.217
Hg 5.546 0.000 2.415
Hg 8.291 -1.685 6.217
```

Record 16
The following is a DFT calculation (GGA-PBE) of crystalline Rb2BaCd2Se4 at its relaxed geometry.

Values from the calculation:
Formation energy from raw total energies   -110.9 kJ/mol of atoms
Space group   C2/m

extended XYZ file:
```
9
Lattice="8.720 -2.261 0.000 8.720 2.261 0.000 -3.122 0.000 7.996" Properties=species:S:1:pos:R:3 pbc="T T T"
Rb 1.964 0.000 0.424
Rb 12.353 0.000 7.572
Ba -1.561 0.000 3.998
Cd 4.078 0.000 4.198
Cd 10.239 0.000 3.799
Se 1.563 0.000 5.410
Se 5.957 0.000 6.021
Se 8.360 0.000 1.976
Se 12.755 0.000 2.587
```

Record 17
The following is a DFT calculation (GGA-PBE) of crystalline K2YP at its relaxed geometry.

Values from the calculation:
E_form   0.2914 eV per atom
Space group   F-43m

extended XYZ file:
```
16
Lattice="7.757 0.000 0.000 0.000 7.757 0.000 0.000 0.000 7.757" Properties=species:S:1:pos:R:3 pbc="T T T"
K 0.000 0.000 0.000
K 0.000 3.879 3.879
K 1.939 1.939 1.939
K 1.939 5.818 5.818
K 3.879 0.000 3.879
K 3.879 3.879 0.000
K 5.818 1.939 5.818
K 5.818 5.818 1.939
Y 0.000 0.000 3.879
Y 0.000 3.879 0.000
Y 3.879 0.000 0.000
Y 3.879 3.879 3.879
P 1.939 1.939 5.818
P 1.939 5.818 1.939
P 5.818 1.939 1.939
P 5.818 5.818 5.818
```

Record 18
The following is a DFT calculation (GGA-PBE) of crystalline H2OsW2 at its relaxed geometry.

Values from the calculation:
Space group   I4/mmm

extended XYZ file:
```
10
Lattice="2.896 0.000 0.000 0.000 2.896 0.000 0.000 0.000 12.387" Properties=species:S:1:pos:R:3 pbc="T T T"
H 0.000 1.448 3.097
H 0.000 1.448 9.290
H 1.448 0.000 3.097
H 1.448 0.000 9.290
Os 0.000 0.000 0.000
Os 1.448 1.448 6.193
W 0.000 0.000 4.380
W 0.000 0.000 8.007
W 1.448 1.448 1.813
W 1.448 1.448 10.573
```

Record 19
The following is a DFT calculation (GGA-PBE) of crystalline MgOsRu at its relaxed geometry.

Values from the calculation:
E_form   0.1613 eV per atom
Space group   Cm

extended XYZ file:
```
12
Lattice="9.179 0.000 0.000 0.000 2.814 0.000 -3.237 0.000 7.171" Properties=species:S:1:pos:R:3 pbc="T T T"
Mg 0.000 0.000 0.000
Mg -1.038 1.407 5.797
Mg 4.590 1.407 0.000
Mg 3.552 0.000 5.797
Os 1.058 0.000 4.566
Os 2.986 1.407 3.333
Os 5.648 1.407 4.566
Os 7.576 0.000 3.333
Ru 0.495 1.407 2.468
Ru 2.497 0.000 1.218
Ru 5.084 0.000 2.468
Ru 7.087 1.407 1.218
```

Record 20
The following is a DFT calculation (GGA-PBE) of crystalline FeNiSb at its relaxed geometry.

Values from the calculation:
Formation energy from raw total energies   21.2 kJ/mol of atoms
Space group   P3m1

extended XYZ file:
```
3
Lattice="4.168 0.000 0.000 -2.084 3.609 0.000 0.000 0.000 3.031" Properties=species:S:1:pos:R:3 pbc="T T T"
Fe 0.000 0.000 0.000
Ni 2.084 1.203 1.156
Sb 0.000 2.406 1.852
```

Record 21
The following is a DFT calculation (GGA-PBE) of crystalline Sc12Tl3Rh5 at its relaxed geometry.

Values from the calculation:
E_form   -0.1500 eV per atom
Space group   Ia-3d

extended XYZ file:
```
80
Lattice="-7.981 7.981 7.981 7.981 -7.981 7.981 7.981 7.981 -7.981" Properties=species:S:1:pos:R:3 pbc="T T T"
Sc 2.354 -0.427 0.988
Sc 9.618 4.979 -4.418
Sc 7.554 -0.988 2.354
Sc 12.399 -1.637 3.002
Sc 10.335 0.427 0.988
Sc 9.618 -3.002 4.418
Sc 0.988 2.354 -0.427
Sc 10.984 3.564 -1.637
Sc 4.979 4.418 -1.637
Sc 6.993 2.354 0.427
Sc -0.427 0.988 2.354
Sc 4.418 -1.637 4.979
Sc 7.554 6.993 -2.354
Sc 4.418 1.637 3.002
Sc 6.993 -2.354 7.554
Sc 4.979 -4.418 9.618
Sc 3.002 4.418 1.637
Sc 8.969 5.627 0.427
Sc 2.354 7.554 -0.988
Sc 9.618 3.002 3.564
Sc 4.418 9.618 -3.002
Sc 7.554 0.988 5.627
Sc 1.637 3.002 4.418
Sc 2.354 0.427 6.993
Sc 5.627 7.554 0.988
Sc 6.345 4.979 3.564
Sc 0.427 6.993 2.354
Sc 3.564 -1.637 10.984
Sc -1.637 4.979 4.418
Sc 5.627 0.427 8.969
Sc -0.988 2.354 7.554
Sc 4.979 3.564 6.345
Sc 3.002 12.399 -1.637
Sc 0.988 10.335 0.427
Sc 3.564 6.345 4.979
Sc 0.427 0.988 10.335
Sc 3.564 9.618 3.002
Sc 8.408 6.993 5.627
Sc 0.988 5.627 7.554
Sc 3.002 3.564 9.618
Sc -3.002 4.418 9.618
Sc 6.993 5.627 8.408
Sc -1.637 10.984 3.564
Sc -2.354 7.554 6.993
Sc -4.418 9.618 4.979
Sc 0.427 8.969 5.627
Sc -1.637 3.002 12.399
Sc 5.627 8.408 6.993
Tl 3.991 1.995 0.000
Tl 7.981 3.991 -1.995
Tl 1.995 0.000 3.991
Tl 9.976 0.000 3.991
Tl 0.000 3.991 1.995
Tl 3.991 -1.995 7.981
Tl 3.991 9.976 0.000
Tl 7.981 3.991 5.986
Tl -1.995 7.981 3.991
Tl 5.986 7.981 3.991
Tl 0.000 3.991 9.976
Tl 3.991 5.986 7.981
Rh 0.000 0.000 0.000
Rh 3.991 3.991 -3.991
Rh 3.991 -3.991 3.991
Rh 7.981 0.000 0.000
Rh 11.972 1.995 0.000
Rh 7.981 -3.991 5.986
Rh 5.986 7.981 -3.991
Rh 5.986 0.000 3.991
Rh 3.991 5.986 0.000
Rh 7.981 3.991 1.995
Rh -3.991 3.991 3.991
Rh 0.000 7.981 0.000
Rh 0.000 0.000 7.981
Rh 3.991 3.991 3.991
Rh 0.000 3.991 5.986
Rh 3.991 1.995 7.981
Rh 1.995 7.981 3.991
Rh 1.995 0.000 11.972
Rh 0.000 11.972 1.995
Rh -3.991 5.986 7.981
```

The records above yield energy values of -3.441 -5.397 -5.992 -4.928 -2.232 -5.042 -4.136 -3.054 -6.477 -5.932 -5.269 -4.549 -3.578 -4.245 -1.187 -3.330 -3.226 -8.630 -7.205 -5.902 -6.142 eV per atom, respectively.
The records above yield magnetization values of 0.00 0.02 0.08 0.00 0.40 0.00 0.00 0.65 0.00 0.00 0.00 0.01 0.40 0.00 0.00 0.00 0.43 0.00 0.00 0.85 0.00 μB per atom, respectively.
The records above yield V values of 26.7 13.1 13.2 25.4 41.3 20.7 30.1 22.9 16.7 13.6 30.1 39.2 34.7 21.1 26.3 35.0 29.2 10.4 15.4 15.2 25.4 Å³ per atom, respectively.